No. 1
Dy3MgIn2: relaxed, PBE-GGA.

```
6
Lattice="3.7530 0.0000 0.0000 0.0000 3.7530 0.0000 0.0000 0.0000 11.3340" Properties=species:S:1:pos:R:3 pbc="T T T"
Dy 0.0000 0.0000 0.0000
Dy 0.0000 0.0000 3.8158
Dy 0.0000 0.0000 7.5182
Mg 1.8765 1.8765 5.6670
In 1.8765 1.8765 1.9585
In 1.8765 1.8765 9.3755
```

ΔH_f (0 K) ... -2.121 eV per formula unit
Total energy ... -3.833 eV/atom

---

No. 2
Mg2InGa2Ni5: relaxed, PBE-GGA.

```
20
Lattice="9.0123 0.0000 0.0000 0.0000 9.0123 0.0000 0.0000 0.0000 3.5682" Properties=species:S:1:pos:R:3 pbc="T T T"
Mg 1.5696 2.9365 0.0000
Mg 2.9365 7.4427 0.0000
Mg 6.0758 1.5696 0.0000
Mg 7.4427 6.0758 0.0000
In 0.0000 0.0000 0.0000
In 4.5062 4.5062 0.0000
Ga 1.1044 5.6105 0.0000
Ga 3.4018 1.1044 0.0000
Ga 5.6105 7.9080 0.0000
Ga 7.9080 3.4018 0.0000
Ni 0.0000 4.5062 1.7841
Ni 0.6365 7.1403 1.7841
Ni 1.8721 0.6365 1.7841
Ni 2.6341 5.1427 1.7841
Ni 3.8697 2.6341 1.7841
Ni 4.5062 0.0000 1.7841
Ni 5.1427 6.3782 1.7841
Ni 6.3782 3.8697 1.7841
Ni 7.1403 8.3758 1.7841
Ni 8.3758 1.8721 1.7841
```

ΔH_f (0 K) ... -2.290 eV per formula unit
Total energy ... -4.318 eV/atom

---

No. 3
Tl2ReRu: relaxed, PBE-GGA.

```
4
Lattice="3.2994 0.0000 0.0000 0.0000 3.2994 0.0000 0.0000 0.0000 6.7337" Properties=species:S:1:pos:R:3 pbc="T T T"
Tl 0.0000 0.0000 1.6342
Tl 0.0000 0.0000 5.0995
Re 1.6497 1.6497 3.3669
Ru 1.6497 1.6497 0.0000
```

ΔH_f (0 K) ... 4.169 eV per formula unit
Total energy ... -5.572 eV/atom

---

No. 4
CsDyCuO3: relaxed, PBE-GGA.

```
12
Lattice="7.9693 0.0000 0.0000 0.0000 3.6494 0.0000 -3.3318 0.0000 8.3356" Properties=species:S:1:pos:R:3 pbc="T T T"
Cs 0.9973 0.9123 1.7723
Cs 3.6401 2.7370 6.5633
Dy -0.2307 2.7370 7.1954
Dy 4.8681 0.9123 1.1402
Cu -1.6781 0.9123 5.2282
Cu 6.3156 2.7370 3.1075
O -1.0118 2.7370 4.9677
O -1.7082 0.9123 7.1622
O 3.4047 2.7370 1.0603
O 1.2327 0.9123 7.2754
O 6.3457 2.7370 1.1734
O 5.6493 0.9123 3.3679
```

Total energy ... -6.015 eV/atom
Uncorrected formation energy ... -1.94 eV/atom

---

No. 5
TbZr2Tl: relaxed, PBE-GGA.

```
4
Lattice="1.6005 0.9241 11.6429 -1.6005 0.9241 11.6429 0.0000 -1.8481 11.6429" Properties=species:S:1:pos:R:3 pbc="T T T"
Tb 0.0000 0.0000 0.0000
Zr 0.0000 0.0000 3.2064
Zr 0.0000 0.0000 31.7222
Tl 0.0000 0.0000 17.4643
```

ΔH_f (0 K) ... 1.143 eV per formula unit
Total energy ... -5.737 eV/atom

---

No. 6
Ca2OsCl: relaxed, PBE-GGA.

```
4
Lattice="1.7765 1.0256 8.2886 -1.7765 1.0256 8.2886 0.0000 -2.0513 8.2886" Properties=species:S:1:pos:R:3 pbc="T T T"
Ca 0.0000 0.0000 6.1367
Ca 0.0000 0.0000 18.7290
Os 0.0000 0.0000 12.4329
Cl 0.0000 0.0000 0.0000
```

Total energy ... -4.670 eV/atom
Uncorrected formation energy ... -0.40 eV/atom

---

No. 7
YHo2Cu: relaxed, PBE-GGA.

```
4
Lattice="1.8239 1.0530 9.6440 -1.8239 1.0530 9.6440 0.0000 -2.1060 9.6440" Properties=species:S:1:pos:R:3 pbc="T T T"
Y 0.0000 0.0000 0.0000
Ho 0.0000 0.0000 6.7802
Ho 0.0000 0.0000 12.5514
Cu 0.0000 0.0000 24.1477
```

ΔH_f (0 K) ... 0.091 eV per formula unit
Total energy ... -4.906 eV/atom

---

No. 8
Li2ZrTc: relaxed, PBE-GGA.

```
4
Lattice="0.0000 3.2033 3.2033 3.2033 0.0000 3.2033 3.2033 3.2033 0.0000" Properties=species:S:1:pos:R:3 pbc="T T T"
Li 0.0000 0.0000 0.0000
Li 1.6016 1.6016 1.6016
Zr 3.2033 3.2033 3.2033
Tc 4.8049 4.8049 4.8049
```

ΔH_f (0 K) ... 1.213 eV per formula unit
Total energy ... -5.382 eV/atom